First-principles (PBE) data for a relaxed Tl2GaAu2 crystal, as listed in the Alexandria database.

Computed properties:
- Excess energy over the best structure of this formula in the dataset: 273 meV/atom
- Symmetry: I4/mmm, No. 139
- Volume: 133.67 Å³/f.u.
- Formation energy from the elements: 0.1716 eV per atom
- Magnetic moment: 0.000 μB per formula unit

Cell lengths 4.526, 4.526, 7.269 Å; angles 71.86, 71.86, 90.00 degrees
Sites, in units of the cell vectors:
Ga  0.000  0.000  0.000
Au  0.398  0.398  0.204
Au  0.602  0.602  0.796
Tl  0.250  0.750  0.500
Tl  0.750  0.250  0.500

=====

First-principles (PBE) data for a relaxed Sr2VZnN4 crystal, as listed in the Alexandria database.

Computed properties:
- Uncorrected formation energy: -63.0 kJ/mol of atoms
- Symmetry: Pmmn, No. 59
- Volume: 124.04 Å³/f.u.
- Magnetic moment: 1.038 μB per formula unit

Cell lengths 5.782, 6.043, 7.101 Å; angles 90.00, 90.00, 90.00 degrees
Site moments in Bohr magnetons follow the coordinates.
Sites, in units of the cell vectors:
V  0.500  0.804  0.500  -0.10
V  0.000  0.196  0.000  -0.10
Zn  0.000  0.218  0.500  0.02
Zn  0.500  0.782  0.000  0.02
N  0.000  0.344  0.771  0.26
N  0.500  0.656  0.729  0.26
N  0.243  0.014  0.000  0.14
N  0.000  0.344  0.229  0.26
N  0.757  0.014  0.000  0.14
N  0.257  0.986  0.500  0.14
N  0.500  0.656  0.271  0.26
N  0.743  0.986  0.500  0.14
Sr  0.000  0.762  0.748  0.01
Sr  0.500  0.238  0.752  0.01
Sr  0.500  0.238  0.248  0.01
Sr  0.000  0.762  0.252  0.01

=====

First-principles (PBE) data for a relaxed PuZr2P4 crystal, as listed in the Alexandria database.

Computed properties:
- Symmetry: Cmcm, No. 63
- Volume: 139.54 Å³/f.u.
- Formation energy from the elements: -0.9741 eV per atom
- Magnetic moment: 4.314 μB per formula unit

Cell lengths 3.795, 6.503, 11.822 Å; angles 90.00, 90.00, 106.97 degrees
Site moments in Bohr magnetons follow the coordinates.
Sites, in units of the cell vectors:
Zr  0.864  0.728  0.553  -0.03
Zr  0.136  0.272  0.447  -0.03
Zr  0.136  0.272  0.053  -0.03
Zr  0.864  0.728  0.947  -0.03
P  0.762  0.523  0.357  -0.06
P  0.054  0.108  0.250  -0.13
P  0.762  0.523  0.143  -0.06
P  0.946  0.892  0.750  -0.13
P  0.238  0.477  0.857  -0.06
P  0.500  0.000  0.000  -0.05
P  0.500  0.000  0.500  -0.05
P  0.238  0.477  0.643  -0.06
Pu  0.398  0.797  0.250  4.76
Pu  0.602  0.203  0.750  4.76

=====

First-principles (PBE) data for a relaxed YHoMgZn crystal, as listed in the Alexandria database.

Computed properties:
- Excess energy over the best structure of this formula in the dataset: 0 meV/atom
- Symmetry: P4mm, No. 99
- Volume: 100.13 Å³/f.u.
- Formation energy from the elements: -0.2192 eV per atom
- Magnetic moment: 0.000 μB per formula unit

Cell lengths 3.580, 3.580, 7.811 Å; angles 90.00, 90.00, 90.00 degrees
Sites, in units of the cell vectors:
Zn  0.500  0.500  0.604
Y  0.000  0.000  0.830
Ho  0.000  0.000  0.384
Mg  0.500  0.500  0.109

=====

First-principles (PBE) data for a relaxed In2NiAu crystal, as listed in the Alexandria database.

Computed properties:
- Excess energy over the best structure of this formula in the dataset: 146 meV/atom
- Symmetry: P4mm, No. 99
- Volume: 78.12 Å³/f.u.
- Formation energy from the elements: 0.0187 eV per atom
- Magnetic moment: 0.000 μB per formula unit

Cell lengths 3.221, 3.221, 7.531 Å; angles 90.00, 90.00, 90.00 degrees
Sites, in units of the cell vectors:
In  0.000  0.000  0.967
In  0.500  0.500  0.314
Ni  0.000  0.000  0.509
Au  0.500  0.500  0.709

=====

First-principles (PBE) data for a relaxed Ta5Ni4 crystal, as listed in the Alexandria database.

Computed properties:
- Excess energy over the best structure of this formula in the dataset: 0 meV/atom
- Symmetry: P6_3/mcm, No. 193
- Volume: 136.41 Å³/f.u.
- Formation energy from the elements: -0.0776 eV per atom
- Magnetic moment: 0.000 μB per formula unit

Cell lengths 7.880, 7.880, 5.073 Å; angles 90.00, 90.00, 60.00 degrees
Sites, in units of the cell vectors:
Ni  0.401  0.599  0.750
Ni  0.599  0.401  0.250
Ni  0.000  0.000  0.500
Ni  0.000  0.599  0.250
Ni  0.599  0.000  0.750
Ni  0.000  0.000  0.000
Ni  0.000  0.401  0.750
Ni  0.401  0.000  0.250
Ta  0.667  0.667  0.500
Ta  0.000  0.276  0.250
Ta  0.667  0.667  0.000
Ta  0.724  0.276  0.750
Ta  0.333  0.333  0.000
Ta  0.276  0.000  0.750
Ta  0.724  0.000  0.250
Ta  0.000  0.724  0.750
Ta  0.276  0.724  0.250
Ta  0.333  0.333  0.500

=====

First-principles (PBE) data for a relaxed Cr2PtPb crystal, as listed in the Alexandria database.

Computed properties:
- Symmetry: R3m, No. 160
- Volume: 70.02 Å³/f.u.
- Formation energy from the elements: 0.4157 eV per atom
- Magnetic moment: 0.001 μB per formula unit

Cell lengths 8.994, 8.994, 8.994 Å; angles 19.38, 19.38, 19.38 degrees
Site moments in Bohr magnetons follow the coordinates.
Sites, in units of the cell vectors:
Cr  0.994  0.994  0.994  2.15
Cr  0.266  0.266  0.266  -2.27
Pb  0.501  0.501  0.501  0.01
Pt  0.739  0.739  0.739  0.17

=====

First-principles (PBE) data for a relaxed Ta2CdRh crystal, as listed in the Alexandria database.

Computed properties:
- Symmetry: Immm, No. 71
- Volume: 69.72 Å³/f.u.
- Formation energy from the elements: -0.0068 eV per atom
- Magnetic moment: 0.000 μB per formula unit

Cell lengths 5.458, 5.458, 5.458 Å; angles 144.71, 131.40, 61.48 degrees
Sites, in units of the cell vectors:
Ta  0.265  0.265  0.000
Ta  0.735  0.735  0.000
Rh  0.500  0.000  0.500
Cd  0.000  0.500  0.500

=====

Across the entries above, density takes the values 10.84; 4.65; 6.55; 5.70; 10.32; 13.87; 12.01; 13.75 g/cm³, respectively.